[1]
The following is a DFT calculation (meta-GGA SCAN) of a PBEsol-optimized structure of CaLaZrO2.

Summary:
calculated volume	108.9	Å³ per cell
formation energy (no corrections)	-1076	meV/atom

```
data_CaLaZrO2
_chemical_formula_sum 'Ca1 La1 Zr1 O2'
_cell_length_a 4.1906
_cell_length_b 4.1906
_cell_length_c 6.2021
_cell_angle_alpha 90.00
_cell_angle_beta 90.00
_cell_angle_gamma 90.00
_space_group_name_H-M_alt 'P 4/m m m'
_space_group_IT_number 123
_space_group_name_Hall '-P 4 2'
loop_
_atom_site_label
_atom_site_type_symbol
_atom_site_fract_x
_atom_site_fract_y
_atom_site_fract_z
_atom_site_occupancy
Ca1 Ca 0.0000 0.0000 0.0000 1
La1 La 0.5000 0.5000 0.0000 1
Zr1 Zr 0.0000 0.0000 0.5000 1
O1 O 0.0000 0.5000 0.5000 1
```


[2]
The following is a DFT calculation (meta-GGA SCAN) of a PBEsol-optimized structure of CaLa2Os.

Summary:
calculated volume	254.3	Å³ per cell
E_form	0.005	eV per atom

```
data_CaLa2Os
_chemical_formula_sum 'Ca2 La4 Os2'
_cell_length_a 3.5773
_cell_length_b 4.7351
_cell_length_c 15.0148
_cell_angle_alpha 90.00
_cell_angle_beta 90.00
_cell_angle_gamma 90.00
_space_group_name_H-M_alt 'A m m 2'
_space_group_IT_number 38
_space_group_name_Hall 'A 2 -2'
loop_
_atom_site_label
_atom_site_type_symbol
_atom_site_fract_x
_atom_site_fract_y
_atom_site_fract_z
_atom_site_occupancy
Ca1 Ca 0.0000 0.0000 0.0000 1
La1 La 0.0000 0.0000 0.6753 1
La2 La 0.5000 0.0000 0.3362 1
Os1 Os 0.5000 0.0000 0.1660 1
```


[3]
The following is a DFT calculation (meta-GGA SCAN) of a PBEsol-optimized structure of CaLa2Os.

Summary:
calculated volume	246.5	Å³ per cell
E_form	-0.089	eV per atom

```
data_CaLa2Os
_chemical_formula_sum 'Ca2 La4 Os2'
_cell_length_a 4.9150
_cell_length_b 4.9366
_cell_length_c 10.1612
_cell_angle_alpha 90.00
_cell_angle_beta 90.00
_cell_angle_gamma 90.00
_space_group_name_H-M_alt 'C m m m'
_space_group_IT_number 65
_space_group_name_Hall '-C 2 2'
loop_
_atom_site_label
_atom_site_type_symbol
_atom_site_fract_x
_atom_site_fract_y
_atom_site_fract_z
_atom_site_occupancy
Ca1 Ca 0.0000 0.0000 0.0000 1
La1 La 0.0000 0.5000 0.3301 1
Os1 Os 0.0000 0.0000 0.5000 1
```


[4]
The following is a DFT calculation (meta-GGA SCAN) of a PBEsol-optimized structure of CaLaOs2.

Summary:
calculated volume	80.0	Å³ per cell
E_form	0.656	eV per atom

```
data_CaLaOs2
_chemical_formula_sum 'Ca1 La1 Os2'
_cell_length_a 3.1322
_cell_length_b 3.1322
_cell_length_c 8.1506
_cell_angle_alpha 90.00
_cell_angle_beta 90.00
_cell_angle_gamma 90.00
_space_group_name_H-M_alt 'P 4/m m m'
_space_group_IT_number 123
_space_group_name_Hall '-P 4 2'
loop_
_atom_site_label
_atom_site_type_symbol
_atom_site_fract_x
_atom_site_fract_y
_atom_site_fract_z
_atom_site_occupancy
Ca1 Ca 0.0000 0.0000 0.0000 1
La1 La 0.0000 0.0000 0.5000 1
Os1 Os 0.5000 0.5000 0.2494 1
```


[5]
The following is a DFT calculation (meta-GGA SCAN) of a PBEsol-optimized structure of CaLaOs2.

Summary:
calculated volume	149.9	Å³ per cell
E_form	0.591	eV per atom

```
data_CaLaOs2
_chemical_formula_sum 'Ca2 La2 Os4'
_cell_length_a 5.9515
_cell_length_b 9.2917
_cell_length_c 2.9539
_cell_angle_alpha 90.00
_cell_angle_beta 113.39
_cell_angle_gamma 90.00
_space_group_name_H-M_alt 'C 1 2/m 1'
_space_group_IT_number 12
_space_group_name_Hall '-C 2y'
loop_
_atom_site_label
_atom_site_type_symbol
_atom_site_fract_x
_atom_site_fract_y
_atom_site_fract_z
_atom_site_occupancy
Ca1 Ca 0.0000 0.0000 0.0000 1
La1 La 0.0000 0.5000 0.0000 1
Os1 Os 0.2500 0.2500 0.5000 1
```


[6]
The following is a DFT calculation (meta-GGA SCAN) of a PBEsol-optimized structure of CaLa2Os.

Summary:
calculated volume	420.4	Å³ per cell
E_form	-0.102	eV per atom

```
data_CaLa2Os
_chemical_formula_sum 'Ca3 La6 Os3'
_cell_length_a 4.1286
_cell_length_b 4.1286
_cell_length_c 28.4816
_cell_angle_alpha 90.00
_cell_angle_beta 90.00
_cell_angle_gamma 120.00
_space_group_name_H-M_alt 'R -3 m'
_space_group_IT_number 166
_space_group_name_Hall '-R 3 2"'
loop_
_atom_site_label
_atom_site_type_symbol
_atom_site_fract_x
_atom_site_fract_y
_atom_site_fract_z
_atom_site_occupancy
Ca1 Ca 0.0000 0.0000 0.0000 1
La1 La 0.0000 0.0000 0.2188 1
Os1 Os 0.0000 0.0000 0.5000 1
```


[7]
The following is a DFT calculation (meta-GGA SCAN) of a PBEsol-optimized structure of CaLa3Os.

Summary:
calculated volume	179.0	Å³ per cell
E_form	-0.175	eV per atom

```
data_CaLa3Os
_chemical_formula_sum 'Ca1 La3 Os1'
_cell_length_a 5.6353
_cell_length_b 5.6353
_cell_length_c 5.6353
_cell_angle_alpha 90.00
_cell_angle_beta 90.00
_cell_angle_gamma 90.00
_space_group_name_H-M_alt 'P m -3 m'
_space_group_IT_number 221
_space_group_name_Hall '-P 4 2 3'
loop_
_atom_site_label
_atom_site_type_symbol
_atom_site_fract_x
_atom_site_fract_y
_atom_site_fract_z
_atom_site_occupancy
Ca1 Ca 0.0000 0.0000 0.0000 1
La1 La 0.0000 0.5000 0.5000 1
Os1 Os 0.5000 0.5000 0.5000 1
```


[8]
The following is a DFT calculation (meta-GGA SCAN) of a PBEsol-optimized structure of RbCaLa2P.

Summary:
calculated volume	168.9	Å³ per cell
E_form	1.021	eV per atom

```
data_RbCaLa2P
_chemical_formula_sum 'Rb1 Ca1 La2 P1'
_cell_length_a 5.5902
_cell_length_b 5.5902
_cell_length_c 5.4045
_cell_angle_alpha 90.00
_cell_angle_beta 90.00
_cell_angle_gamma 90.00
_space_group_name_H-M_alt 'P 4/m m m'
_space_group_IT_number 123
_space_group_name_Hall '-P 4 2'
loop_
_atom_site_label
_atom_site_type_symbol
_atom_site_fract_x
_atom_site_fract_y
_atom_site_fract_z
_atom_site_occupancy
Rb1 Rb 0.0000 0.0000 0.0000 1
Ca1 Ca 0.0000 0.0000 0.5000 1
La1 La 0.0000 0.5000 0.5000 1
P1 P 0.5000 0.5000 0.0000 1
```


[9]
The following is a DFT calculation (meta-GGA SCAN) of a PBEsol-optimized structure of Ca2LaPS.

Summary:
calculated volume	139.3	Å³ per cell
formation energy (no corrections)	-943	meV/atom

```
data_Ca2LaPS
_chemical_formula_sum 'Ca2 La1 P1 S1'
_cell_length_a 5.0673
_cell_length_b 5.0673
_cell_length_c 5.4266
_cell_angle_alpha 90.00
_cell_angle_beta 90.00
_cell_angle_gamma 90.00
_space_group_name_H-M_alt 'P 4/m m m'
_space_group_IT_number 123
_space_group_name_Hall '-P 4 2'
loop_
_atom_site_label
_atom_site_type_symbol
_atom_site_fract_x
_atom_site_fract_y
_atom_site_fract_z
_atom_site_occupancy
Ca1 Ca 0.0000 0.5000 0.0000 1
La1 La 0.0000 0.0000 0.5000 1
P1 P 0.5000 0.5000 0.5000 1
S1 S 0.0000 0.0000 0.0000 1
```


[10]
The following is a DFT calculation (meta-GGA SCAN) of a PBEsol-optimized structure of SrCaLa2P.

Summary:
calculated volume	168.6	Å³ per cell
E_form	0.892	eV per atom

```
data_SrCaLa2P
_chemical_formula_sum 'Sr1 Ca1 La2 P1'
_cell_length_a 5.5087
_cell_length_b 5.5087
_cell_length_c 5.5546
_cell_angle_alpha 90.00
_cell_angle_beta 90.00
_cell_angle_gamma 90.00
_space_group_name_H-M_alt 'P 4/m m m'
_space_group_IT_number 123
_space_group_name_Hall '-P 4 2'
loop_
_atom_site_label
_atom_site_type_symbol
_atom_site_fract_x
_atom_site_fract_y
_atom_site_fract_z
_atom_site_occupancy
Sr1 Sr 0.0000 0.0000 0.0000 1
Ca1 Ca 0.0000 0.0000 0.5000 1
La1 La 0.0000 0.5000 0.5000 1
P1 P 0.5000 0.5000 0.0000 1
```


[11]
The following is a DFT calculation (meta-GGA SCAN) of a PBEsol-optimized structure of CaLaTcP2.

Summary:
calculated volume	163.2	Å³ per cell
E_form	1.397	eV per atom

```
data_CaLaTcP2
_chemical_formula_sum 'Ca1 La1 Tc1 P2'
_cell_length_a 5.2661
_cell_length_b 5.2661
_cell_length_c 5.8838
_cell_angle_alpha 90.00
_cell_angle_beta 90.00
_cell_angle_gamma 90.00
_space_group_name_H-M_alt 'P 4/m m m'
_space_group_IT_number 123
_space_group_name_Hall '-P 4 2'
loop_
_atom_site_label
_atom_site_type_symbol
_atom_site_fract_x
_atom_site_fract_y
_atom_site_fract_z
_atom_site_occupancy
Ca1 Ca 0.0000 0.0000 0.0000 1
La1 La 0.0000 0.0000 0.5000 1
Tc1 Tc 0.5000 0.5000 0.0000 1
P1 P 0.0000 0.5000 0.5000 1
```


[12]
The following is a DFT calculation (meta-GGA SCAN) of a PBEsol-optimized structure of CaLa2TeP.

Summary:
calculated volume	159.9	Å³ per cell
formation energy (no corrections)	-975	meV/atom

```
data_CaLa2TeP
_chemical_formula_sum 'Ca1 La2 Te1 P1'
_cell_length_a 5.5306
_cell_length_b 5.5306
_cell_length_c 5.2263
_cell_angle_alpha 90.00
_cell_angle_beta 90.00
_cell_angle_gamma 90.00
_space_group_name_H-M_alt 'P 4/m m m'
_space_group_IT_number 123
_space_group_name_Hall '-P 4 2'
loop_
_atom_site_label
_atom_site_type_symbol
_atom_site_fract_x
_atom_site_fract_y
_atom_site_fract_z
_atom_site_occupancy
Ca1 Ca 0.0000 0.0000 0.0000 1
La1 La 0.0000 0.5000 0.5000 1
Te1 Te 0.5000 0.5000 0.0000 1
P1 P 0.0000 0.0000 0.5000 1
```


[13]
The following is a DFT calculation (meta-GGA SCAN) of a PBEsol-optimized structure of CaLa2Pb.

Summary:
calculated volume	124.2	Å³ per cell
E_form	-0.488	eV per atom

```
data_CaLa2Pb
_chemical_formula_sum 'Ca1 La2 Pb1'
_cell_length_a 4.9450
_cell_length_b 4.9450
_cell_length_c 5.0801
_cell_angle_alpha 90.00
_cell_angle_beta 90.00
_cell_angle_gamma 90.00
_space_group_name_H-M_alt 'P 4/m m m'
_space_group_IT_number 123
_space_group_name_Hall '-P 4 2'
loop_
_atom_site_label
_atom_site_type_symbol
_atom_site_fract_x
_atom_site_fract_y
_atom_site_fract_z
_atom_site_occupancy
Ca1 Ca 0.0000 0.0000 0.0000 1
La1 La 0.0000 0.5000 0.5000 1
Pb1 Pb 0.5000 0.5000 0.0000 1
```


[14]
The following is a DFT calculation (meta-GGA SCAN) of a PBEsol-optimized structure of CaLa2Pb.

Summary:
calculated volume	245.8	Å³ per cell
E_form	-0.455	eV per atom

```
data_CaLa2Pb
_chemical_formula_sum 'Ca2 La4 Pb2'
_cell_length_a 4.8596
_cell_length_b 4.8596
_cell_length_c 10.4101
_cell_angle_alpha 90.00
_cell_angle_beta 90.00
_cell_angle_gamma 90.00
_space_group_name_H-M_alt 'I 4/m m m'
_space_group_IT_number 139
_space_group_name_Hall '-I 4 2'
loop_
_atom_site_label
_atom_site_type_symbol
_atom_site_fract_x
_atom_site_fract_y
_atom_site_fract_z
_atom_site_occupancy
Ca1 Ca 0.0000 0.0000 0.0000 1
La1 La 0.0000 0.5000 0.2500 1
Pb1 Pb 0.0000 0.0000 0.5000 1
```